(w)
# BeAgW

A relaxed structure of BeAgW (PBE-GGA, OQMD).

Summary:
**Total moment**: 0.0 μB per cell
**Volume**: 17.38 Å³/atom
**Space group**: F-43m

a = 4.193 Å, b = 4.193 Å, c = 4.193 Å
α = 60.00°, β = 60.00°, γ = 60.00°
Sites, in units of the cell vectors:
Be: 0.750 0.750 0.750
W: 0.000 0.000 0.000
Ag: 0.250 0.250 0.250

---

(x)
# BeAgW

A relaxed structure of BeAgW (PBE-GGA, OQMD).

Summary:
**Total moment**: 0.8 μB per cell
**Volume**: 14.98 Å³/atom
**Space group**: F-43m

a = 3.991 Å, b = 3.991 Å, c = 3.991 Å
α = 60.00°, β = 60.00°, γ = 60.00°
Sites, in units of the cell vectors:
Ag: 0.250 0.250 0.250
W: 0.750 0.750 0.750
Be: 0.000 0.000 0.000

---

Energy above the most stable structure, in meV/atom: (w) 536; (x) 0

---

(w)
# Ag15Bi

A relaxed structure of Ag15Bi (PBE-GGA, OQMD).

Summary:
**Volume**: 26.86 Å³/atom
**Space group**: P2_1/m

a = 8.109 Å, b = 2.946 Å, c = 35.984 Å
α = 90.00°, β = 90.03°, γ = 90.00°
Sites, in units of the cell vectors:
Ag: 0.625 0.250 0.358
Ag: 0.375 0.750 0.561
Ag: 0.625 0.250 0.684
Ag: 0.125 0.250 0.602
Ag: 0.875 0.750 0.316
Ag: 0.624 0.250 0.766
Ag: 0.376 0.750 0.234
Ag: 0.125 0.250 0.520
Ag: 0.625 0.250 0.602
Ag: 0.125 0.250 0.684
Ag: 0.625 0.250 0.276
Ag: 0.126 0.250 0.766
Ag: 0.375 0.750 0.805
Ag: 0.375 0.750 0.642
Ag: 0.125 0.250 0.357
Ag: 0.875 0.750 0.480
Ag: 0.875 0.750 0.643
Ag: 0.125 0.250 0.439
Ag: 0.625 0.250 0.195
Ag: 0.625 0.250 0.520
Ag: 0.375 0.750 0.398
Ag: 0.875 0.750 0.725
Ag: 0.875 0.750 0.561
Ag: 0.375 0.750 0.316
Ag: 0.375 0.750 0.724
Ag: 0.125 0.250 0.275
Ag: 0.874 0.750 0.234
Ag: 0.875 0.750 0.398
Ag: 0.625 0.250 0.439
Ag: 0.375 0.750 0.480
Bi: 0.125 0.250 0.186
Bi: 0.875 0.750 0.814

---

(x)
# Ag15Bi

A relaxed structure of Ag15Bi (PBE-GGA, OQMD).

Summary:
**Volume**: 24.94 Å³/atom
**Space group**: P2_1/m

a = 5.865 Å, b = 4.065 Å, c = 33.472 Å
α = 90.00°, β = 90.03°, γ = 90.00°
Sites, in units of the cell vectors:
Bi: 0.631 0.250 0.162
Bi: 0.369 0.750 0.838
Ag: 0.372 0.750 0.742
Ag: 0.131 0.250 0.171
Ag: 0.874 0.750 0.653
Ag: 0.625 0.250 0.522
Ag: 0.126 0.250 0.610
Ag: 0.619 0.250 0.787
Ag: 0.122 0.250 0.787
Ag: 0.874 0.750 0.390
Ag: 0.625 0.250 0.434
Ag: 0.125 0.250 0.522
Ag: 0.878 0.750 0.213
Ag: 0.872 0.750 0.742
Ag: 0.875 0.750 0.566
Ag: 0.375 0.750 0.566
Ag: 0.869 0.750 0.829
Ag: 0.126 0.250 0.347
Ag: 0.875 0.750 0.478
Ag: 0.628 0.250 0.258
Ag: 0.125 0.250 0.434
Ag: 0.375 0.750 0.302
Ag: 0.122 0.250 0.698
Ag: 0.128 0.250 0.258
Ag: 0.625 0.250 0.698
Ag: 0.381 0.750 0.213
Ag: 0.375 0.750 0.654
Ag: 0.625 0.250 0.610
Ag: 0.625 0.250 0.346
Ag: 0.375 0.750 0.390
Ag: 0.375 0.750 0.478
Ag: 0.878 0.750 0.302

---

Energy above the most stable structure, in meV/atom: (w) 18; (x) 0